Computed, not measured: an optimized crystal structure of Li2CoNi3 at the PBE level of DFT.

Computed properties:
DOS(E_F)	12.1	states/eV per cell
E_form	0.052	eV/atom
final energy	-4.661	eV/atom

```
Li2CoNi3
1.0
-4.653 -1.231 -0.034
2.125 -2.881 -3.434
2.248 -3.508 4.313
Ni Co Li
6 2 4
Direct
0.723 0.181 0.976
0.945 0.486 0.698
0.055 0.514 0.302
0.277 0.819 0.024
0.944 0.987 0.699
0.056 0.013 0.301
0.265 0.319 0.019
0.735 0.681 0.981
0.385 0.848 0.646
0.615 0.152 0.354
0.610 0.655 0.357
0.390 0.345 0.643
```